# 1
First-principles (PBE) data for a geometry-optimized Pm2NdY2Sc structure, as listed in Alexandria via LeMat-Bulk.

Summary:
- Calculated formation energy: 0.073 eV per atom
- D(E_F): 1.737 states/eV per atom
- Energy: -5.515 eV/atom
- SG: No. 51

Cell and atoms, written as POSCAR:
```
Pm2NdY2Sc
1.0
5.6344 0.0000 0.0000
0.0000 7.0245 0.0000
0.0000 0.0000 9.7206
Pm Nd Y Sc
4 2 4 2
Cartesian
0.0000 1.8091 8.0665
2.8172 1.8099 3.2630
0.0000 5.3214 1.6542
2.8172 5.3222 6.4576
0.0000 0.0530 4.8592
0.0000 3.5652 4.8615
2.8172 0.0537 0.0005
0.0000 1.8097 1.5938
2.8172 3.5659 9.7202
0.0000 5.3220 8.1268
2.8172 1.8095 6.5183
2.8172 5.3217 3.2023
```

# 2
First-principles (PBE) data for a geometry-optimized Pm3Nd2Y6Sc structure, as listed in Alexandria via LeMat-Bulk.

Summary:
- Calculated formation energy: 0.024 eV per atom
- D(E_F): 1.328 states/eV per atom
- Energy: -5.718 eV/atom
- SG: No. 12

Cell and atoms, written as POSCAR:
```
Pm3Nd2Y6Sc
1.0
-5.3143 -1.0950 -3.0142
2.3749 -4.3209 3.7704
-5.0248 6.3045 8.6925
Pm Nd Y Sc
3 2 6 1
Cartesian
-1.4189 -0.6311 6.9859
-6.5453 1.5196 2.4627
-3.9821 0.4442 4.7243
-0.1901 -3.2449 1.5072
-2.7494 -2.1711 -0.7510
-7.2627 1.1990 5.9887
-3.4572 -2.5089 2.7253
-0.7015 -0.3105 3.4599
-4.7234 0.1337 8.2293
-4.5070 3.3974 6.7234
-3.2409 0.7548 1.2194
0.0000 0.0000 0.0000
```

# 3
First-principles (PBE) data for a geometry-optimized PmNdYSc structure, as listed in Alexandria via LeMat-Bulk.

Summary:
- Calculated formation energy: 0.148 eV per atom
- D(E_F): 2.425 states/eV per atom
- Energy: -5.431 eV/atom
- SG: No. 216

Cell and atoms, written as POSCAR:
```
PmNdYSc
1.0
5.6375 0.0000 0.0000
2.8188 4.8822 0.0000
2.8188 1.6274 4.6030
Y Sc Nd Pm
1 1 1 1
Cartesian
8.4563 4.8822 3.4523
5.6375 3.2548 2.3015
2.8188 1.6274 1.1508
0.0000 0.0000 0.0000
```

# 4
First-principles (PBE) data for a geometry-optimized PmNd2Y4Sc structure, as listed in Alexandria via LeMat-Bulk.

Summary:
- Calculated formation energy: 0.035 eV per atom
- D(E_F): 1.565 states/eV per atom
- Energy: -5.774 eV/atom
- SG: No. 123

Cell and atoms, written as POSCAR:
```
PmNd2Y4Sc
1.0
5.0540 0.0000 0.0000
0.0000 4.9394 1.0696
0.0000 2.8020 10.9269
Pm Nd Y Sc
1 2 4 1
Cartesian
2.5270 2.4697 0.5348
0.0000 2.8020 10.9268
2.5270 1.4010 5.4634
0.0001 5.8206 8.9360
5.0540 1.9208 3.0605
2.5271 4.3911 3.5953
2.5270 3.3502 8.4012
0.0000 3.8707 5.9983
```

# 5
First-principles (PBE) data for a geometry-optimized Pm2NdY5Sc structure, as listed in Alexandria via LeMat-Bulk.

Summary:
- Calculated formation energy: 0.156 eV per atom
- D(E_F): 1.492 states/eV per atom
- Energy: -5.724 eV/atom
- SG: No. 36

Cell and atoms, written as POSCAR:
```
Pm2NdY5Sc
1.0
-2.4160 3.4369 3.7315
-7.0532 -1.4588 -7.4536
-3.7666 -8.2763 5.1841
Pm Nd Y Sc
4 2 10 2
Cartesian
-10.6932 -4.8182 1.7450
-4.6660 -6.0154 2.5194
-3.0261 -2.5423 0.3823
-8.4496 -0.0187 -1.2229
-6.2516 -6.1210 5.8207
-8.5116 -3.5331 -2.2567
-6.1967 0.0290 -4.0388
-8.0744 -5.0351 3.6404
-10.7290 -5.8586 -1.5505
-7.5444 -5.6536 0.3225
-11.1385 -2.3153 -0.8485
-5.3046 -2.5159 3.1134
-5.7657 -2.5908 -1.3467
-2.4169 -0.2420 2.8887
-5.3277 0.1546 0.6389
-0.3473 -0.1376 -0.0981
-8.2166 -2.3895 1.1117
-3.2534 -0.0286 -2.0801
```

# 6
First-principles (PBE) data for a geometry-optimized PmNd2YSc structure, as listed in Alexandria via LeMat-Bulk.

Summary:
- Calculated formation energy: 0.354 eV per atom
- D(E_F): 1.525 states/eV per atom
- Energy: -5.062 eV/atom
- SG: No. 63

Cell and atoms, written as POSCAR:
```
PmNd2YSc
1.0
6.5106 0.0000 0.0000
0.0000 6.5025 0.0000
0.0000 -3.2513 7.9575
Pm Nd Y Sc
2 4 2 2
Cartesian
1.6276 3.2513 2.5830
4.8829 0.0000 5.3746
3.2553 1.6128 0.0000
0.0000 4.8897 0.0000
3.2553 4.8897 0.0000
0.0000 1.6128 0.0000
4.8829 3.2512 4.0124
1.6276 0.0000 3.9452
1.6276 3.2513 5.5105
4.8829 0.0000 2.4471
```

# 7
First-principles (PBE) data for a geometry-optimized Pm2NdYSc structure, as listed in Alexandria via LeMat-Bulk.

Summary:
- Calculated formation energy: 0.333 eV per atom
- D(E_F): 1.226 states/eV per atom
- Energy: -5.080 eV/atom
- SG: No. 63

Cell and atoms, written as POSCAR:
```
Pm2NdYSc
1.0
7.1733 0.0000 0.0000
0.0000 8.2376 0.0000
0.0000 -4.1188 5.7486
Pm Nd Y Sc
4 2 2 2
Cartesian
3.5867 2.4755 0.0000
0.0000 5.7621 0.0000
3.5867 5.7621 0.0000
0.0000 2.4755 0.0000
1.7933 4.1188 2.5592
5.3800 0.0000 3.1894
5.3800 4.1188 2.8464
1.7933 0.0000 2.9022
1.7933 4.1188 5.5379
5.3800 0.0000 0.2107
```

# 8
First-principles (PBE) data for a geometry-optimized PmNd2Y2Sc structure, as listed in Alexandria via LeMat-Bulk.

Summary:
- Calculated formation energy: 0.074 eV per atom
- D(E_F): 1.800 states/eV per atom
- Energy: -5.517 eV/atom
- SG: No. 51

Cell and atoms, written as POSCAR:
```
PmNd2Y2Sc
1.0
5.6378 0.0000 0.0000
0.0000 7.0500 0.0000
0.0000 0.0000 9.7304
Pm Nd Y Sc
2 4 4 2
Cartesian
0.0000 0.0536 4.8635
0.0000 3.5786 4.8670
0.0000 1.8145 8.0614
2.8189 1.8176 3.2856
0.0000 5.3395 1.6691
2.8189 5.3426 6.4448
2.8189 0.0532 0.0013
0.0000 1.8156 1.5917
2.8189 3.5783 9.7291
0.0000 5.3406 8.1387
2.8189 1.8170 6.5330
2.8189 5.3420 3.1975
```